First-principles (PBE-GGA) data for a relaxed structure of SmErNi2, as listed in Alexandria.

```
4
Lattice="-2.4527 -1.3923 -1.7958 -0.3762 -3.5506 3.2667 -3.2674 2.5984 2.4479" Properties=species:S:1:pos:R:3 pbc="T T T"
Ni -1.6337 1.2992 1.2240
Ni -0.1881 -1.7753 1.6333
Sm -3.0482 -1.1723 1.9594
Er -1.2264 -0.6962 -0.8979
```

Results
D(E_F) = 2.896 states/eV/f.u.
Calculated total energy = -0.409 Ry/atom
Total magnetic moment = 0.000 μB per atom
ΔE to the lowest computed polymorph = 70.6 meV per atom
Energy relative to the elements = -0.35 eV per atom